# 1
The following is a DFT calculation (GGA-PBEsol) of a geometry-optimized AgIrAu structure.

Cell lengths 4.3160, 4.3160, 4.3160 Å; angles 60.00, 60.00, 60.00 degrees
Closest atoms and distances in Å follow each position.
Element x y z (fractional)
Au 0.5000 0.5000 0.5000  4 Ir 2.64
Ir 0.2500 0.2500 0.2500  4 Ag 2.64, 4 Au 2.64
Ag 0.0000 0.0000 0.0000  4 Ir 2.64

## Properties
- DFT formation energy: 905 meV per atom
- Magnetization: 0.77 μB per cell
- VASP energy: -4.7815 eV/atom
- Energy above the most stable polymorph in this dataset: 660 meV/atom

---

# 2
The following is a DFT calculation (GGA-PBEsol) of a geometry-optimized MnFeOsRu2 structure.

Cell lengths 4.2169, 4.2169, 4.1895 Å; angles 90.00, 90.00, 90.00 degrees
Closest atoms and distances in Å follow each position.
Element x y z (fractional)
Ru 0.5000 0.0000 0.0000  2 Fe 2.11
Ru 0.0000 0.5000 0.0000  2 Fe 2.11
Mn 0.0000 0.0000 0.5000  2 Fe 2.09
Os 0.5000 0.5000 0.5000  8 Ru 2.97, 4 Mn 2.98
Fe 0.0000 0.0000 0.0000  2 Mn 2.09, 4 Ru 2.11

## Properties
- DFT formation energy: 1584 meV per atom
- Magnetization: 2.67 μB per cell
- VASP energy: -8.6726 eV/atom

---

# 3
The following is a DFT calculation (GGA-PBEsol) of a geometry-optimized Mg2InNi structure.

Cell lengths 4.2430, 4.2430, 4.8151 Å; angles 116.14, 116.14, 90.00 degrees
Closest atoms and distances in Å follow each position.
Element x y z (fractional)
Mg 0.7500 0.2500 0.5000  4 Mg 2.84, 4 Ni 2.84, 4 In 3.00
Mg 0.0000 0.0000 0.0000  4 In 2.84, 4 Mg 2.84, 4 Ni 3.00
In 0.2500 0.7500 0.5000  8 Mg 2.84-3.00, 4 Ni 2.84
Ni 0.5000 0.5000 0.0000  4 In 2.84, 8 Mg 2.84-3.00

## Properties
- DFT formation energy: -85 meV per atom
- Magnetization: 0.00 μB per cell
- VASP energy: -3.2287 eV/atom

---

# 4
The following is a DFT calculation (GGA-PBEsol) of a geometry-optimized Mg2AsSe structure.

Cell lengths 3.5183, 3.9540, 6.5324 Å; angles 90.03, 105.62, 90.00 degrees
Closest atoms and distances in Å follow each position.
Element x y z (fractional)
As 0.7435 0.1247 0.4870  5 Mg 2.71-2.81
Se 0.5005 0.6253 0.0010  5 Mg 2.65-2.68
Mg 0.9665 0.1253 0.9331  4 Se 2.68, 1 As 2.81
Mg 0.2895 0.6247 0.5790  1 Se 2.65, 4 As 2.71

## Properties
- Magnetization: 0.00 μB per cell
- VASP energy: -3.7052 eV/atom
- Energy relative to the elements, uncorrected: -607.5 meV per atom